First-principles (PBE) data for a relaxed structure of Cu2SbS2, as listed in Alexandria via LeMat-Bulk.

Values from the calculation:
SG: No. 12
theoretical density: 5.42 g/cm3
energy relative to the lowest polymorph listed for this composition: 0.000 eV per atom
formation energy (no corrections): -26 meV/atom

Cell: 3.679 3.845 7.756 Å, 85.01 90.00 118.58°
Sites, in units of the cell vectors:
Cu: 0.842 0.684 0.263
Cu: 0.158 0.316 0.737
S: 0.830 0.660 0.813
Sb: 0.500 0.000 0.500
S: 0.170 0.340 0.187